DFT (PBE) results for crystalline LaGa4Rh at its relaxed geometry.

Computed properties:
Magnetic moment, Bohr magnetons per cell: 0.00
Volume, A^3/atom: 26.0
Formation enthalpy at 0 K, eV per atom: -0.19
SG: P4/mmm (123)
ρ, g/cm³: 5.54

Geometry as POSCAR:
```
LaGa4Rh
1.0
-4.6081 0.7146 -0.5237
-0.1981 -3.5345 -3.0802
-1.3041 -4.5348 5.2876
Ga La Rh
4 1 1
Direct
0.5000 0.5000 0.1610
0.0000 0.5000 0.5000
0.5000 0.5000 0.8390
0.5000 0.0000 0.5000
0.0000 0.0000 0.0000
0.5000 0.5000 0.5000
```